Compound: Ac2TbGe3Pd12
Source: Alexandria
Functional: PBE
Structure: relaxed

```
data_Ac2TbGe3Pd12
_chemical_formula_sum 'Ac6 Tb3 Ge9 Pd36'
_cell_length_a 9.4778
_cell_length_b 9.4778
_cell_length_c 13.3277
_cell_angle_alpha 90.00
_cell_angle_beta 90.00
_cell_angle_gamma 120.00
_space_group_name_H-M_alt 'R -3 m'
_space_group_IT_number 166
_space_group_name_Hall '-R 3 2"'
loop_
_atom_site_label
_atom_site_fract_x
_atom_site_fract_y
_atom_site_fract_z
Ac1 0.0000 0.0000 0.1466
Tb1 0.0000 0.0000 0.5000
Ge1 0.0000 0.5000 0.0000
Pd1 0.0017 0.5009 0.1864
Pd2 0.0252 0.5126 0.3889
```

Energy of formation from the pure elements   -487 meV per atom
V   19.20 A^3/atom
D(E_F)   0.4477 states/eV/atom



Compound: Ac4GeTe2Pd
Source: Alexandria
Functional: PBE
Structure: relaxed

```
data_Ac4GeTe2Pd
_chemical_formula_sum 'Ac4 Ge1 Te2 Pd1'
_cell_length_a 7.947
_cell_length_b 4.587
_cell_length_c 8.264
_cell_angle_alpha 90.00
_cell_angle_beta 108.24
_cell_angle_gamma 90.00
_space_group_name_H-M_alt 'P 1 2/m 1'
_space_group_IT_number 10
_space_group_name_Hall '-P 2y'
loop_
_atom_site_label
_atom_site_fract_x
_atom_site_fract_y
_atom_site_fract_z
Ac1 0.241 0.000 0.223
Ac2 0.257 0.500 0.778
Ge1 0.500 0.000 0.000
Te1 0.000 0.000 0.500
Te2 0.500 0.500 0.500
Pd1 0.000 0.500 0.000
```

V   35.76 A^3/atom
D(E_F)   0.8130 states/eV/atom
Formation energy from raw total energies   -1.136 eV/atom



Compound: AcThGe2Pd2
Source: Alexandria
Functional: PBE
Structure: relaxed

```
data_AcThGe2Pd2
_chemical_formula_sum 'Ac1 Th1 Ge2 Pd2'
_cell_length_a 4.4205
_cell_length_b 4.4205
_cell_length_c 8.3368
_cell_angle_alpha 90.00
_cell_angle_beta 90.00
_cell_angle_gamma 120.00
_space_group_name_H-M_alt 'P -3 m 1'
_space_group_IT_number 164
_space_group_name_Hall '-P 3 2"'
loop_
_atom_site_label
_atom_site_fract_x
_atom_site_fract_y
_atom_site_fract_z
Ac1 0.0000 0.0000 0.0000
Th1 0.0000 0.0000 0.5000
Ge1 0.3333 0.6667 0.7275
Pd1 0.3333 0.6667 0.2634
```

Energy of formation from the pure elements   -915 meV per atom
V   23.51 A^3/atom
D(E_F)   0.9088 states/eV/atom



Compound: Ac2ThGe3Pd4
Source: Alexandria
Functional: PBE
Structure: relaxed

```
data_Ac2ThGe3Pd4
_chemical_formula_sum 'Ac2 Th1 Ge3 Pd4'
_cell_length_a 4.477
_cell_length_b 4.477
_cell_length_c 11.342
_cell_angle_alpha 90.00
_cell_angle_beta 90.00
_cell_angle_gamma 90.00
_space_group_name_H-M_alt 'P -4 m 2'
_space_group_IT_number 115
_space_group_name_Hall 'P -4 -2'
loop_
_atom_site_label
_atom_site_fract_x
_atom_site_fract_y
_atom_site_fract_z
Ac1 0.000 0.500 0.222
Th1 0.000 0.000 0.500
Ge1 0.000 0.500 0.885
Ge2 0.500 0.500 0.500
Pd1 0.000 0.000 0.000
Pd2 0.000 0.500 0.660
Pd3 0.500 0.500 0.000
```

Energy of formation from the pure elements   -814 meV per atom
V   22.73 A^3/atom
D(E_F)   0.7118 states/eV/atom



Compound: Ac2TiGePd6
Source: Alexandria
Functional: PBE
Structure: relaxed

```
data_Ac2TiGePd6
_chemical_formula_sum 'Ac4 Ti2 Ge2 Pd12'
_cell_length_a 12.299
_cell_length_b 5.671
_cell_length_c 8.524
_cell_angle_alpha 90.00
_cell_angle_beta 132.85
_cell_angle_gamma 90.00
_space_group_name_H-M_alt 'C 1 2/m 1'
_space_group_IT_number 12
_space_group_name_Hall '-C 2y'
loop_
_atom_site_label
_atom_site_fract_x
_atom_site_fract_y
_atom_site_fract_z
Ac1 0.244 0.000 0.282
Ti1 0.000 0.000 0.500
Ge1 0.000 0.500 0.000
Pd1 0.005 0.252 0.752
Pd2 0.250 0.000 0.889
```

Energy of formation from the pure elements   -621 meV per atom
V   21.80 A^3/atom
D(E_F)   0.7615 states/eV/atom



Compound: Ac2TiGe4Pd3
Source: Alexandria
Functional: PBE
Structure: relaxed

```
data_Ac2TiGe4Pd3
_chemical_formula_sum 'Ac2 Ti1 Ge4 Pd3'
_cell_length_a 4.373
_cell_length_b 4.373
_cell_length_c 10.975
_cell_angle_alpha 90.00
_cell_angle_beta 90.00
_cell_angle_gamma 90.00
_space_group_name_H-M_alt 'P -4 m 2'
_space_group_IT_number 115
_space_group_name_Hall 'P -4 -2'
loop_
_atom_site_label
_atom_site_fract_x
_atom_site_fract_y
_atom_site_fract_z
Ac1 0.000 0.500 0.241
Ti1 0.000 0.000 0.500
Ge1 0.000 0.000 0.000
Ge2 0.000 0.500 0.634
Ge3 0.500 0.500 0.000
Pd1 0.000 0.500 0.874
Pd2 0.500 0.500 0.500
```

Energy of formation from the pure elements   -790 meV per atom
V   20.98 A^3/atom
D(E_F)   0.4921 states/eV/atom



Compound: Ac3Tl2GePd9
Source: Alexandria
Functional: PBE
Structure: relaxed

```
data_Ac3Tl2GePd9
_chemical_formula_sum 'Ac3 Tl2 Ge1 Pd9'
_cell_length_a 7.0354
_cell_length_b 7.0354
_cell_length_c 8.8071
_cell_angle_alpha 90.00
_cell_angle_beta 90.00
_cell_angle_gamma 120.00
_space_group_name_H-M_alt 'P -3 m 1'
_space_group_IT_number 164
_space_group_name_Hall '-P 3 2"'
loop_
_atom_site_label
_atom_site_fract_x
_atom_site_fract_y
_atom_site_fract_z
Ac1 0.0000 0.0000 0.0000
Ac2 0.3333 0.6667 0.7199
Tl1 0.3333 0.6667 0.2071
Ge1 0.0000 0.0000 0.5000
Pd1 0.0000 0.5000 0.0000
Pd2 0.1305 0.2610 0.2909
```

Energy of formation from the pure elements   -379 meV per atom
V   25.17 A^3/atom
D(E_F)   0.4508 states/eV/atom



Compound: Ac2TlGePd6
Source: Alexandria
Functional: PBE
Structure: relaxed

```
data_Ac2TlGePd6
_chemical_formula_sum 'Ac4 Tl2 Ge2 Pd12'
_cell_length_a 12.029
_cell_length_b 5.668
_cell_length_c 8.789
_cell_angle_alpha 90.00
_cell_angle_beta 131.32
_cell_angle_gamma 90.00
_space_group_name_H-M_alt 'C 1 2/m 1'
_space_group_IT_number 12
_space_group_name_Hall '-C 2y'
loop_
_atom_site_label
_atom_site_fract_x
_atom_site_fract_y
_atom_site_fract_z
Ac1 0.248 0.000 0.272
Tl1 0.000 0.000 0.500
Ge1 0.000 0.500 0.000
Pd1 0.002 0.252 0.237
Pd2 0.248 0.500 0.091
```

Energy of formation from the pure elements   -633 meV per atom
V   22.51 A^3/atom
D(E_F)   0.3819 states/eV/atom



Compound: Ac2TlGe4Pd3
Source: Alexandria
Functional: PBE
Structure: relaxed

```
data_Ac2TlGe4Pd3
_chemical_formula_sum 'Ac2 Tl1 Ge4 Pd3'
_cell_length_a 4.503
_cell_length_b 4.503
_cell_length_c 10.812
_cell_angle_alpha 90.00
_cell_angle_beta 90.00
_cell_angle_gamma 90.00
_space_group_name_H-M_alt 'P -4 m 2'
_space_group_IT_number 115
_space_group_name_Hall 'P -4 -2'
loop_
_atom_site_label
_atom_site_fract_x
_atom_site_fract_y
_atom_site_fract_z
Ac1 0.000 0.500 0.237
Tl1 0.000 0.000 0.500
Ge1 0.000 0.000 0.000
Ge2 0.000 0.500 0.651
Ge3 0.500 0.500 0.000
Pd1 0.000 0.500 0.883
Pd2 0.500 0.500 0.500
```

Energy of formation from the pure elements   -672 meV per atom
V   21.93 A^3/atom
D(E_F)   0.2849 states/eV/atom



Compound: Ac2TmGePd6
Source: Alexandria
Functional: PBE
Structure: relaxed

```
data_Ac2TmGePd6
_chemical_formula_sum 'Ac4 Tm2 Ge2 Pd12'
_cell_length_a 11.939
_cell_length_b 5.803
_cell_length_c 8.807
_cell_angle_alpha 90.00
_cell_angle_beta 131.08
_cell_angle_gamma 90.00
_space_group_name_H-M_alt 'C 1 2/m 1'
_space_group_IT_number 12
_space_group_name_Hall '-C 2y'
loop_
_atom_site_label
_atom_site_fract_x
_atom_site_fract_y
_atom_site_fract_z
Ac1 0.238 0.000 0.268
Tm1 0.000 0.000 0.500
Ge1 0.000 0.500 0.000
Pd1 0.001 0.260 0.244
Pd2 0.249 0.500 0.096
```

Energy of formation from the pure elements   -667 meV per atom
V   23.00 A^3/atom
D(E_F)   0.5405 states/eV/atom



Compound: AcTm2Ge2Pd7
Source: Alexandria
Functional: PBE
Structure: relaxed

```
data_AcTm2Ge2Pd7
_chemical_formula_sum 'Ac2 Tm4 Ge4 Pd14'
_cell_length_a 5.877
_cell_length_b 5.808
_cell_length_c 13.953
_cell_angle_alpha 90.00
_cell_angle_beta 99.35
_cell_angle_gamma 90.00
_space_group_name_H-M_alt 'C 1 2/m 1'
_space_group_IT_number 12
_space_group_name_Hall '-C 2y'
loop_
_atom_site_label
_atom_site_fract_x
_atom_site_fract_y
_atom_site_fract_z
Ac1 0.000 0.000 0.000
Tm1 0.127 0.000 0.353
Ge1 0.102 0.500 0.270
Pd1 0.000 0.500 0.000
Pd2 0.183 0.500 0.448
Pd3 0.186 0.249 0.831
```

Energy of formation from the pure elements   -722 meV per atom
V   19.58 A^3/atom
D(E_F)   0.5059 states/eV/atom



Compound: AcYGe2Pd5
Source: Alexandria
Functional: PBE
Structure: relaxed

```
data_AcYGe2Pd5
_chemical_formula_sum 'Ac1 Y1 Ge2 Pd5'
_cell_length_a 4.363
_cell_length_b 4.363
_cell_length_c 9.158
_cell_angle_alpha 90.00
_cell_angle_beta 90.00
_cell_angle_gamma 90.00
_space_group_name_H-M_alt 'P 4/m m m'
_space_group_IT_number 123
_space_group_name_Hall '-P 4 2'
loop_
_atom_site_label
_atom_site_fract_x
_atom_site_fract_y
_atom_site_fract_z
Ac1 0.000 0.000 0.000
Y1 0.000 0.000 0.500
Ge1 0.500 0.500 0.366
Pd1 0.000 0.500 0.236
Pd2 0.500 0.500 0.000
```

Energy of formation from the pure elements   -774 meV per atom
V   19.37 A^3/atom
D(E_F)   0.3173 states/eV/atom